--- P ---
Here is a relaxed FeBiTeN2 crystal from Alexandria via LeMat-Bulk. Energies are from PBE.

Cell lengths 4.101, 4.101, 5.152 Å; angles 90.00, 90.00, 90.00 degrees
Fractional positions:
Te1 0.000 0.000 0.500
N1 0.000 0.500 0.000
N2 0.500 0.000 0.000
Bi1 0.500 0.500 0.500
Fe1 0.000 0.000 0.000

Crystal system   tetragonal
Space-group type   P4/mmm, No. 123



--- Q ---
Here is a relaxed FeBiTeN2 crystal from Alexandria via LeMat-Bulk. Energies are from PBE.

Cell lengths 4.232, 4.232, 6.637 Å; angles 90.00, 90.00, 90.00 degrees
Fractional positions:
Fe1 0.500 0.500 0.500
Bi1 0.000 0.000 0.000
Te1 0.000 0.000 0.500
N1 0.000 0.500 0.000
N2 0.500 0.000 0.000

Crystal system   tetragonal
Space-group type   P4/mmm, No. 123



Which is most stable? The ranking, best first, is P, Q.



--- P ---
Here is a relaxed NaFeBi3 crystal from Alexandria via LeMat-Bulk. Energies are from PBE.

Cell lengths 5.440, 5.440, 5.440 Å; angles 90.00, 90.00, 90.00 degrees
Fractional positions:
Na1 0.000 0.000 0.000
Bi1 0.000 0.500 0.000
Bi2 0.000 0.000 0.500
Bi3 0.500 0.000 0.000
Fe1 0.500 0.500 0.500

Crystal system   cubic
Space-group type   Pm-3m, No. 221



--- Q ---
Here is a relaxed NaFeBi3 crystal from Alexandria via LeMat-Bulk. Energies are from PBE.

Cell lengths 5.204, 5.204, 5.204 Å; angles 90.00, 90.00, 90.00 degrees
Fractional positions:
Fe1 0.000 0.000 0.000
Bi1 0.500 0.000 0.000
Bi2 0.000 0.000 0.500
Bi3 0.000 0.500 0.000
Na1 0.500 0.500 0.500

Crystal system   cubic
Space-group type   Pm-3m, No. 221



Which is most stable? The ranking, best first, is Q, P.



--- P ---
Here is a relaxed Fe3NiBi crystal from Alexandria via LeMat-Bulk. Energies are from PBE.

Cell lengths 4.431, 4.431, 4.431 Å; angles 90.00, 90.00, 90.00 degrees
Fractional positions:
Fe1 0.500 0.000 0.000
Fe2 0.000 0.500 0.000
Fe3 0.000 0.000 0.500
Ni1 0.000 0.000 0.000
Bi1 0.500 0.500 0.500

Crystal system   cubic
Space-group type   Pm-3m, No. 221



--- Q ---
Here is a relaxed Fe3NiBi crystal from Alexandria via LeMat-Bulk. Energies are from PBE.

Cell lengths 4.862, 4.862, 4.862 Å; angles 90.00, 90.00, 90.00 degrees
Fractional positions:
Bi1 0.000 0.000 0.000
Fe1 0.500 0.000 0.000
Fe2 0.000 0.000 0.500
Fe3 0.000 0.500 0.000
Ni1 0.500 0.500 0.500

Crystal system   cubic
Space-group type   Pm-3m, No. 221



Which is most stable? The ranking, best first, is P, Q.